BaCaMoF7 (GGA+U, relaxed); volume = 16.02 Å³ per atom; DOS at the Fermi energy = 0.00 states/eV/f.u.; total magnetization = 12.00 μB/cell; raw total energy = -231.13 eV/cell; symmetry = No. 14
1.0
-0.377 4.175 -10.284
5.041 -2.706 -1.283
-4.902 -7.967 -3.055
F Ca Mo Ba
28 4 4 4
Cartesian
1.062 -2.445 -4.109
-3.763 -4.865 -5.576
-1.238 -5.721 -2.328
-4.039 -4.860 -9.096
-1.265 -6.812 -8.766
1.372 -2.232 -1.146
-3.886 -6.950 -3.432
1.459 -6.821 -4.097
1.338 -5.094 -8.866
3.526 -1.633 -9.045
-1.113 -3.956 -4.329
1.018 -2.238 -7.132
1.147 -0.014 -9.121
1.028 0.314 -5.855
-1.266 -1.397 -2.778
-1.255 -4.260 -7.490
3.648 0.452 -11.189
1.029 -5.100 -11.843
-1.299 -4.053 -10.512
1.323 0.191 -3.203
3.801 -1.637 -5.525
-1.576 -1.403 -5.755
-1.610 -4.266 -13.475
0.876 -2.542 -10.293
-1.561 -6.688 -11.418
-1.384 -6.483 -5.500
-1.696 0.323 -10.524
1.001 -0.776 -12.293
-2.826 -5.856 -7.434
-0.239 -3.378 -2.199
0.002 -3.120 -12.423
2.589 -0.642 -7.188
-0.127 -0.707 -4.415
-2.507 -5.480 -3.997
-0.110 -5.790 -10.207
2.269 -1.017 -10.624
-1.183 -1.818 -8.475
0.946 -4.679 -6.146
3.473 -1.541 -2.537
-3.710 -4.956 -12.084